1.
PBE-GGA Pm2NdDy4Ho, optimized geometry; ΔE_f = 0.017 eV per atom; symmetry = P1, No. 1; uncorrected energy = -4.640 eV/atom; DOS at the Fermi energy = 9.724 states/eV/f.u.
1.0
-4.4624 4.4745 3.4736
-9.4823 -7.0835 -2.8432
11.5404 -2.7561 3.3898
Pm Nd Dy Ho
4 2 8 2
Direct
0.5001 0.0003 0.0002
0.5001 0.0003 0.5002
0.9998 0.9996 0.4997
0.4999 0.4996 0.9998
0.0001 0.5003 0.0002
0.0001 0.5003 0.5001
0.2463 0.7506 0.9983
0.7455 0.2498 0.4975
0.2551 0.7502 0.5026
0.7542 0.2494 0.0018
0.7498 0.7503 0.9980
0.7504 0.7504 0.5026
0.2491 0.2495 0.4972
0.2496 0.2496 0.0018
0.5001 0.4999 0.5000
0.9999 0.9999 0.0000


2.
PBE-GGA YCl, optimized geometry; energy relative to the elements, uncorrected = -1.207 eV per atom; symmetry = R-3m, No. 166; uncorrected energy = -5.363 eV/atom; DOS at the Fermi energy = 0.850 states/eV/f.u.
1.0
-2.0127 1.5266 4.1662
-3.4163 -1.4898 3.1381
-0.2758 -1.4538 4.6421
Cl Y
1 1
Direct
0.0000 0.0000 0.0000
0.5000 0.5000 0.5000


Q: uncorrected energy of number 1 (Pm2NdDy4Ho)?
A: -4.640 eV/atom


Repeat the second record exactly.
PBE-GGA YCl, optimized geometry; energy relative to the elements, uncorrected = -1.207 eV per atom; symmetry = R-3m, No. 166; uncorrected energy = -5.363 eV/atom; DOS at the Fermi energy = 0.850 states/eV/f.u.
1.0
-2.0127 1.5266 4.1662
-3.4163 -1.4898 3.1381
-0.2758 -1.4538 4.6421
Cl Y
1 1
Direct
0.0000 0.0000 0.0000
0.5000 0.5000 0.5000


Q: uncorrected energy of number 2 (YCl)?
A: -5.363 eV/atom